Entry from Alexandria via LeMat-Bulk: crystalline VAgPtO6 at its relaxed geometry (PBE+U).

The calculation puts the total energy at -5.910 eV per atom. The calculation puts the density of states at the Fermi level at 0.775 states/eV per atom.

The space group is P-31c (No. 163) and the conventional cell measures 5.1576, 5.1576 and 9.3941 Å, with angles of 90.00, 90.00 and 120.00 degrees. The inequivalent atoms are V at (0.3333, 0.6667, 0.2500), Ag at (0.0000, 0.0000, 0.0000), Pt at (0.3333, 0.6667, 0.7500) and O at (0.0122, 0.3766, 0.1367).